Entry 1:
TbPm2Er5 PBE-GGA relaxed; excess energy over the best structure of this formula in the dataset = 149 meV/atom; formation energy = 169 meV/atom
1.0
9.028 0.000 -3.862
-0.983 5.996 -2.298
-0.815 -1.785 10.579
Tb Pm Er
2 4 10
direct
0.000 0.000 0.500
0.500 0.500 0.500
0.176 0.460 0.842
0.666 0.960 0.842
0.824 0.540 0.158
0.334 0.040 0.158
0.491 0.446 0.800
0.942 0.750 0.000
0.058 0.250 0.000
0.890 0.629 0.605
0.110 0.371 0.395
0.715 0.129 0.605
0.285 0.871 0.395
0.509 0.554 0.200
0.309 0.946 0.800
0.691 0.054 0.200

Entry 2:
LiAcPr2S4 PBE-GGA relaxed; energy relative to the elements, uncorrected = -1.8640 eV per atom
1.0
-2.182 -1.103 -3.237
-3.124 -2.896 5.634
-8.039 11.553 1.482
Li Ac Pr S
2 2 4 8
direct
0.851 0.702 0.750
0.149 0.298 0.250
0.117 0.235 0.750
0.883 0.765 0.250
0.366 0.732 0.555
0.634 0.268 0.055
0.634 0.268 0.445
0.366 0.732 0.945
0.274 0.547 0.128
0.726 0.453 0.628
0.726 0.453 0.872
0.274 0.547 0.372
0.000 0.000 0.500
0.000 0.000 0.000
0.451 0.901 0.750
0.549 0.099 0.250

Entry 3:
MgRe2O8 PBE-GGA relaxed; excess energy over the best structure of this formula in the dataset = 157 meV/atom; energy relative to the elements, uncorrected = -1.7372 eV per atom
1.0
-0.516 -4.758 2.368
4.736 0.691 4.692
-2.079 2.091 6.020
Mg Re O
1 2 8
direct
0.000 0.000 0.000
0.661 0.825 0.825
0.339 0.175 0.175
0.184 0.312 0.928
0.816 0.072 0.688
0.330 0.885 0.885
0.670 0.115 0.115
0.184 0.928 0.312
0.816 0.688 0.072
0.705 0.671 0.671
0.295 0.329 0.329

Entry 4:
SrLi2PmP2 PBE-GGA relaxed; formation energy = -974 meV/atom
1.0
4.251 0.000 0.000
-2.126 3.682 0.000
0.000 0.000 7.944
Sr Li Pm P
1 2 1 2
direct
0.000 0.000 0.000
0.333 0.667 0.738
0.667 0.333 0.262
0.000 0.000 0.500
0.333 0.667 0.266
0.667 0.333 0.734

Entry 5:
Ca2HfPd PBE-GGA relaxed; excess energy over the best structure of this formula in the dataset = 113 meV/atom; formation energy = 365 meV/atom
1.0
1.047 -4.122 3.051
-2.410 -0.517 4.618
-3.598 -3.742 0.670
Ca Hf Pd
2 1 1
direct
0.250 0.250 0.250
0.750 0.750 0.750
0.500 0.500 0.500
0.000 0.000 0.000

Entry 6:
In2IrCl2 PBE-GGA relaxed; excess energy over the best structure of this formula in the dataset = 75 meV/atom; energy relative to the elements, uncorrected = 0.1435 eV per atom
1.0
-3.443 -4.207 2.589
2.774 -4.258 -3.229
2.226 -4.642 2.420
Cl Ir In
2 1 2
direct
0.304 0.304 0.393
0.696 0.696 0.607
0.000 0.000 0.000
0.750 0.250 0.500
0.250 0.750 0.500

Number 1: density 8.4 Mg/m³, calculated total energy -35.59 eV/f.u., calculated volume 510.0 Å³ per cell. Number 2: density 5.5 Mg/m³, calculated total energy -47.00 eV/f.u., calculated volume 388.4 Å³ per cell. Number 3: density 4.1 Mg/m³, calculated total energy -85.27 eV/f.u., calculated volume 211.9 Å³ per cell. Number 4: density 4.1 Mg/m³, calculated total energy -26.92 eV/f.u., calculated volume 124.3 Å³ per cell. Number 5: density 6.0 Mg/m³, calculated total energy -17.69 eV/f.u., calculated volume 101.4 Å³ per cell. Number 6: density 6.0 Mg/m³, calculated total energy -17.31 eV/f.u., calculated volume 136.8 Å³ per cell.